[1]
LaH8PtRh4 after structural relaxation, computed with PBE.

Computed properties:
DFT total energy (hartree per atom): -0.184
Crystal system: trigonal
Total moment (μB/atom): 0.00

a = 5.7234 Å, b = 5.7234 Å, c = 5.7198 Å
α = 59.98°, β = 59.98°, γ = 60.00°
Closest atoms and distances in Å follow each position.
Element x y z (fractional)
La1 0.3834 0.3834 0.8497  4 H 2.26-2.29
H1 0.2176 0.8724 0.6924  2 Rh 1.81, 1 Pt 1.82, 2 H 1.98
H2 0.8724 0.2176 0.6924  2 Rh 1.81, 1 Pt 1.82, 2 H 1.98
H3 0.2176 0.2176 0.6924  2 Rh 1.81, 1 Pt 1.82, 2 H 1.98
H4 0.2219 0.2219 0.3344  3 Rh 1.81
H5 0.6897 0.2791 0.3416  3 Rh 1.76-1.91
H6 0.2791 0.6897 0.3416  3 Rh 1.76-1.91
H7 0.6897 0.6897 0.3416  3 Rh 1.76-1.91
H8 0.7679 0.7679 0.6963  4 Rh 1.89-1.92
Pt1 0.0010 0.0010 0.9969  3 H 1.82
Rh1 0.6333 0.6333 0.1002  4 H 1.76-1.89
Rh2 0.0055 0.5154 0.4735  6 H 1.81-1.92
Rh3 0.5154 0.0055 0.4735  6 H 1.81-1.92
Rh4 0.0055 0.0055 0.4735  6 H 1.81-1.92

[2]
AgSbTe2 after structural relaxation, computed with PBE.

Computed properties:
E_form (uncorrected) (eV per atom): 0.230
DFT total energy (hartree per atom): -0.113
Crystal system: orthorhombic
Total moment (μB/atom): 0.00

a = 5.2268 Å, b = 5.2269 Å, c = 3.8672 Å
α = 90.00°, β = 90.00°, γ = 90.15°
Closest atoms and distances in Å follow each position.
Element x y z (fractional)
Sb1 0.0000 0.5000 0.5000  8 Te 3.25
Te1 0.0000 0.0000 0.0000  4 Ag 3.25, 4 Sb 3.25
Te2 0.5000 0.5000 0.0000  4 Sb 3.25, 4 Ag 3.25
Ag1 0.5000 0.0000 0.5000  8 Te 3.25

[3]
BeIrSeN2 after structural relaxation, computed with PBE.

Computed properties:
E_form (uncorrected) (eV per atom): 1.387
E above lowest polymorph (eV per atom): 0.4868
DFT total energy (hartree per atom): -0.190
Crystal system: tetragonal
Total moment (μB/atom): 0.29

a = 3.3904 Å, b = 3.3904 Å, c = 7.5464 Å
α = 90.00°, β = 90.00°, γ = 90.00°
Closest atoms and distances in Å follow each position.
Element x y z (fractional)
Be1 0.0000 0.0000 0.0000  4 N 1.70
Ir1 0.5000 0.5000 0.5000  4 Se 2.40
Se1 0.0000 0.0000 0.5000  4 Ir 2.40
N1 0.0000 0.5000 0.0000  2 Be 1.70
N2 0.5000 0.0000 0.0000  2 Be 1.70

[4]
CuNiSe2 after structural relaxation, computed with PBE.

Computed properties:
E_form (uncorrected) (eV per atom): -0.166
DFT total energy (hartree per atom): -0.161
Crystal system: triclinic
Total moment (μB/atom): 0.00

a = 6.6059 Å, b = 5.2348 Å, c = 3.7781 Å
α = 90.08°, β = 90.00°, γ = 90.05°
Closest atoms and distances in Å follow each position.
Element x y z (fractional)
Ni1 0.7438 0.0366 0.7104  6 Se 2.48-2.51, 2 Ni 2.62
Ni2 0.7435 0.5366 0.7104  6 Se 2.48-2.51, 2 Ni 2.62
Se1 0.5911 0.2867 0.2100  4 Ni 2.51, 2 Cu 2.64
Se2 0.0622 0.2870 0.7097  2 Ni 2.48, 4 Cu 2.59
Se3 0.4252 0.7867 0.7096  2 Ni 2.48, 4 Cu 2.59
Se4 0.8962 0.7869 0.2102  4 Ni 2.51, 2 Cu 2.64
Cu1 0.2437 0.0370 0.2094  6 Se 2.59-2.64, 2 Cu 2.62
Cu2 0.2436 0.5370 0.2094  6 Se 2.59-2.64, 2 Cu 2.62

[5]
LiBeCl after structural relaxation, computed with PBE.

Computed properties:
E_form (uncorrected) (eV per atom): -0.234
E above lowest polymorph (eV per atom): 0.0000
DFT total energy (hartree per atom): -0.100
Crystal system: orthorhombic
Total moment (μB/atom): 0.00

a = 6.2728 Å, b = 5.8345 Å, c = 3.2283 Å
α = 82.19°, β = 67.15°, γ = 30.66°
Closest atoms and distances in Å follow each position.
Element x y z (fractional)
Be1 0.9857 0.9857 0.0143  2 Cl 2.15
Cl1 0.3572 0.3572 0.6428  2 Be 2.15
Li1 0.6571 0.6571 0.3429  2 Be 2.50, 2 Cl 2.76

[6]
PmNiSn after structural relaxation, computed with PBE.

Computed properties:
E above lowest polymorph (eV per atom): 0.2985
DFT total energy (hartree per atom): -0.191
Crystal system: tetragonal
ΔE_f (eV per formula unit): -1.0
Total moment (μB/atom): 0.00

a = 3.3650 Å, b = 3.3650 Å, c = 6.1453 Å
α = 105.89°, β = 105.89°, γ = 90.00°
Closest atoms and distances in Å follow each position.
Element x y z (fractional)
Ni1 0.6844 0.6844 0.3689  4 Sn 2.72
Sn1 0.3015 0.3015 0.6030  4 Ni 2.72
Pm1 0.0140 0.0140 0.0281  4 Ni 3.06, 5 Sn 3.26-3.39, 4 Pm 3.37

[7]
K2VTc after structural relaxation, computed with PBE.

Computed properties:
E above lowest polymorph (eV per atom): 0.7227
DFT total energy (hartree per atom): -0.125
Crystal system: cubic
ΔE_f (eV per formula unit): 8.0
Total moment (μB/atom): 1.84

a = 5.6519 Å, b = 5.6519 Å, c = 5.6519 Å
α = 60.00°, β = 60.00°, γ = 60.00°
Closest atoms and distances in Å follow each position.
Element x y z (fractional)
K1 0.2500 0.2500 0.2500  4 Tc 3.46, 4 V 3.46
K2 0.7500 0.7500 0.7500  4 V 3.46, 4 Tc 3.46
Tc1 0.5000 0.5000 0.5000  8 K 3.46
V1 0.0000 0.0000 0.0000  8 K 3.46

[8]
Tb12In6Ru after structural relaxation, computed with PBE.

Computed properties:
DFT total energy (hartree per atom): -0.165
Crystal system: trigonal
ΔE_f (eV per formula unit): -4.0
Total moment (μB/atom): 0.00

a = 8.3061 Å, b = 8.3061 Å, c = 8.3061 Å
α = 93.88°, β = 93.88°, γ = 93.88°
Closest atoms and distances in Å follow each position.
Element x y z (fractional)
Tb1 0.7971 0.5689 0.4542  4 In 3.15-3.26
Tb2 0.4542 0.7971 0.5689  4 In 3.15-3.26
Tb3 0.5689 0.4542 0.7971  4 In 3.15-3.26
Tb4 0.2029 0.4311 0.5458  4 In 3.15-3.26
Tb5 0.5458 0.2029 0.4311  4 In 3.15-3.26
Tb6 0.4311 0.5458 0.2029  4 In 3.15-3.26
Tb7 0.9793 0.0942 0.3171  1 Ru 2.72
Tb8 0.9058 0.6829 0.0207  1 Ru 2.72
Tb9 0.6829 0.0207 0.9058  1 Ru 2.72
Tb10 0.0207 0.9058 0.6829  1 Ru 2.72
Tb11 0.0942 0.3171 0.9793  1 Ru 2.72
Tb12 0.3171 0.9793 0.0942  1 Ru 2.72
In1 0.6594 0.8647 0.2681  8 Tb 3.15-3.37
In2 0.7319 0.3406 0.1353  8 Tb 3.15-3.37
In3 0.1353 0.7319 0.3406  8 Tb 3.15-3.37
In4 0.3406 0.1353 0.7319  8 Tb 3.15-3.37
In5 0.2681 0.6594 0.8647  8 Tb 3.15-3.37
In6 0.8647 0.2681 0.6594  8 Tb 3.15-3.37
Ru1 0.0000 0.0000 0.0000  6 Tb 2.72

[9]
LiNb3Mo after structural relaxation, computed with PBE.

Computed properties:
E above lowest polymorph (eV per atom): 0.0146
DFT total energy (hartree per atom): -0.272
Crystal system: cubic
ΔE_f (eV per formula unit): 6.0
Total moment (μB/atom): 0.00

a = 4.8752 Å, b = 4.8752 Å, c = 4.8752 Å
α = 90.00°, β = 90.00°, γ = 90.00°
Closest atoms and distances in Å follow each position.
Element x y z (fractional)
Mo1 0.0000 0.0000 0.0000  6 Nb 2.44
Nb1 0.0000 0.5000 0.0000  2 Mo 2.44
Nb2 0.0000 0.0000 0.5000  2 Mo 2.44
Nb3 0.5000 0.0000 0.0000  2 Mo 2.44
Li1 0.5000 0.5000 0.5000  12 Nb 3.45

[10]
AlGa2Tc2 after structural relaxation, computed with PBE.

Computed properties:
E above lowest polymorph (eV per atom): 0.0000
DFT total energy (hartree per atom): -0.229
Crystal system: tetragonal
ΔE_f (eV per formula unit): -0.7
Total moment (μB/atom): 0.00

a = 6.6769 Å, b = 6.6769 Å, c = 3.4877 Å
α = 90.00°, β = 90.00°, γ = 90.00°
Closest atoms and distances in Å follow each position.
Element x y z (fractional)
Tc1 0.3483 0.8483 0.0000  2 Al 2.54, 6 Ga 2.57-2.65
Tc2 0.8483 0.6517 0.0000  2 Al 2.54, 6 Ga 2.57-2.65
Tc3 0.6517 0.1517 0.0000  2 Al 2.54, 6 Ga 2.57-2.65
Tc4 0.1517 0.3483 0.0000  2 Al 2.54, 6 Ga 2.57-2.65
Ga1 0.1479 0.6479 0.5000  6 Tc 2.57-2.65, 1 Ga 2.79
Ga2 0.6479 0.8521 0.5000  6 Tc 2.57-2.65, 1 Ga 2.79
Ga3 0.8521 0.3521 0.5000  6 Tc 2.57-2.65, 1 Ga 2.79
Ga4 0.3521 0.1479 0.5000  6 Tc 2.57-2.65, 1 Ga 2.79
Al1 0.0000 0.0000 0.0000  4 Tc 2.54
Al2 0.5000 0.5000 0.0000  4 Tc 2.54

[11]
Li5Cu4 after structural relaxation, computed with PBE.

Computed properties:
E above lowest polymorph (eV per atom): 0.0643
DFT total energy (hartree per atom): -0.104
Crystal system: hexagonal
ΔE_f (eV per formula unit): 0.4
Total moment (μB/atom): 0.00

a = 7.4163 Å, b = 7.4163 Å, c = 5.1782 Å
α = 90.00°, β = 90.00°, γ = 120.00°
Closest atoms and distances in Å follow each position.
Element x y z (fractional)
Cu1 0.0000 0.0000 0.0000  8 Cu 2.59-2.64, 6 Li 2.84
Cu2 0.0000 0.0000 0.5000  8 Cu 2.59-2.64, 6 Li 2.84
Cu3 0.0000 0.3104 0.2500  5 Li 2.42-2.60, 2 Cu 2.64
Cu4 0.6896 0.6896 0.2500  5 Li 2.42-2.60, 2 Cu 2.64
Cu5 0.3104 0.0000 0.2500  5 Li 2.42-2.60, 2 Cu 2.64
Cu6 0.0000 0.6896 0.7500  5 Li 2.42-2.60, 2 Cu 2.64
Cu7 0.3104 0.3104 0.7500  5 Li 2.42-2.60, 2 Cu 2.64
Cu8 0.6896 0.0000 0.7500  5 Li 2.42-2.60, 2 Cu 2.64
Li1 0.0000 0.6587 0.2500  5 Cu 2.42-2.60
Li2 0.3413 0.3413 0.2500  5 Cu 2.42-2.60
Li3 0.6587 0.0000 0.2500  5 Cu 2.42-2.60
Li4 0.0000 0.3413 0.7500  5 Cu 2.42-2.60
Li5 0.6587 0.6587 0.7500  5 Cu 2.42-2.60
Li6 0.3413 0.0000 0.7500  5 Cu 2.42-2.60
Li7 0.6667 0.3333 0.0000  8 Li 2.59-2.76, 6 Cu 2.87
Li8 0.3333 0.6667 0.5000  8 Li 2.59-2.76, 6 Cu 2.87
Li9 0.3333 0.6667 0.0000  8 Li 2.59-2.76, 6 Cu 2.87
Li10 0.6667 0.3333 0.5000  8 Li 2.59-2.76, 6 Cu 2.87

[12]
PmNp5N6 after structural relaxation, computed with PBE.

Computed properties:
E_form (uncorrected) (eV per atom): -1.160
DFT total energy (hartree per atom): -0.408
Crystal system: monoclinic
Total moment (μB/atom): 1.38

a = 6.0234 Å, b = 6.0211 Å, c = 6.0211 Å
α = 60.00°, β = 80.40°, γ = 70.52°
Closest atoms and distances in Å follow each position.
Element x y z (fractional)
Np1 0.5000 0.1643 0.6713  6 N 2.37-2.47
Np2 0.0000 0.3326 0.3348  6 N 2.45
Np3 0.5000 0.5000 0.0000  6 N 2.37-2.47
Np4 0.0000 0.6674 0.6652  6 N 2.45
Np5 0.5000 0.8357 0.3287  6 N 2.37-2.47
N1 0.7411 0.0864 0.3478  5 Np 2.37-2.47, 1 Pm 2.56
N2 0.2589 0.5658 0.3478  5 Np 2.37-2.47, 1 Pm 2.56
N3 0.2557 0.2633 0.0000  5 Np 2.37-2.46, 1 Pm 2.55
N4 0.7443 0.7367 0.0000  5 Np 2.37-2.46, 1 Pm 2.55
N5 0.7411 0.4342 0.6522  5 Np 2.37-2.47, 1 Pm 2.56
N6 0.2589 0.9136 0.6522  5 Np 2.37-2.47, 1 Pm 2.56
Pm1 0.0000 0.0000 0.0000  6 N 2.55-2.56

Which of these has the highest total moment?
K2VTc

total moment of number 6 (PmNiSn)?
0.00 μB/atom

Number 10 is which compound?
AlGa2Tc2